# PBE-GGA KHfSc, optimized geometry
# Energy above the lowest structure with this stoichiometry in meV/atom: 1863
# ΔH_f (0 K) in eV/atom: 2.1149
# N(E_F) in states/eV/f.u.: 6.95
# E in eV/cell: -22.1
data_KHfSc
_chemical_formula_sum 'K2 Hf2 Sc2'
_cell_length_a 5.7477
_cell_length_b 5.7477
_cell_length_c 10.4833
_cell_angle_alpha 90.00
_cell_angle_beta 90.00
_cell_angle_gamma 120.00
_space_group_name_H-M_alt 'P 63/m m c'
_space_group_IT_number 194
_space_group_name_Hall '-P 6c 2c'
loop_
_atom_site_label
_atom_site_type_symbol
_atom_site_fract_x
_atom_site_fract_y
_atom_site_fract_z
K1 K 0.3333 0.6667 0.2500
Hf1 Hf 0.0000 0.0000 0.0000
Sc1 Sc 0.0000 0.0000 0.2500